Entry 1:
TbGdLuIn | PBE | relaxed

The space group is F-43m (No. 216) and the conventional cell measures 7.683, 7.683 and 7.683 Å, with angles of 90.00, 90.00 and 90.00 degrees. Symmetry generates all atoms from Tb at (0.000, 0.000, 0.000), Gd at (0.000, 0.000, 0.500), Lu at (0.250, 0.250, 0.250) and In at (0.250, 0.250, 0.750).

For the density of states at the Fermi level, the calculation gives 1.386 states/eV/atom. Its formation enthalpy at 0 K is -0.17 eV per atom. Its magnetization is 8.19 μB per formula unit.

***

Entry 2:
NaHo5Te8 | PBE | relaxed

The space group is F-43m (No. 216) and the conventional cell measures 12.808, 12.808 and 12.808 Å, with angles of 90.00, 90.00 and 90.00 degrees. Symmetry generates all atoms from Na at (0.000, 0.000, 0.000), Ho at (0.130, 0.130, 0.370), Ho at (0.250, 0.250, 0.750), Te at (0.117, 0.117, 0.617) and Te at (0.134, 0.134, 0.134).

The raw formation energy is -124.3 kJ per mole of atoms. For the density of states at the Fermi level, the calculation gives 0.000 states/eV/atom. Its magnetization is 0.00 μB per formula unit.

***

Entry 3:
Rb2TiZnBr | PBE | relaxed

The space group is P4/mmm (No. 123) and the conventional cell measures 6.494, 6.494 and 6.482 Å, with angles of 90.00, 90.00 and 90.00 degrees. Symmetry generates all atoms from Rb at (0.000, 0.500, 0.000), Ti at (0.000, 0.000, 0.500), Zn at (0.500, 0.500, 0.500) and Br at (0.500, 0.500, 0.000).

The raw formation energy is 40.6 kJ per mole of atoms. For the density of states at the Fermi level, the calculation gives 1.461 states/eV/atom. Its magnetization is 2.93 μB per formula unit.

***

Entry 4:
TmGa4Au | PBE | relaxed

The space group is C2/m (No. 12) and the conventional cell measures 10.904, 4.186 and 6.050 Å, with angles of 90.00, 122.39 and 90.00 degrees. Symmetry generates all atoms from Tm at (0.000, 0.000, 0.000), Ga at (0.151, 0.500, 0.824), Ga at (0.220, 0.500, 0.344) and Au at (0.000, 0.000, 0.500).

For the density of states at the Fermi level, the calculation gives 0.360 states/eV/atom. Its formation enthalpy at 0 K is -0.37 eV per atom. Its polymorph energy (0 for the lowest one) is 0.00 eV/f.u. Its magnetization is 0.00 μB per formula unit.

***

Entry 5:
Y3PaSe6 | PBE | relaxed

The space group is Cmc2_1 (No. 36) and the conventional cell measures 11.182, 13.882 and 7.127 Å, with angles of 90.00, 90.00 and 90.00 degrees. Symmetry generates all atoms from Y at (0.000, 0.094, 0.000), Y at (0.189, 0.397, 0.103), Pa at (0.000, 0.336, 0.619), Se at (0.000, 0.271, 0.246), Se at (0.000, 0.491, 0.882), Se at (0.164, 0.034, 0.296) and Se at (0.169, 0.232, 0.828).

The raw formation energy is -154.0 kJ per mole of atoms. For the density of states at the Fermi level, the calculation gives 0.582 states/eV/atom. Its polymorph energy (0 for the lowest one) is 1.33 eV/f.u. Its magnetization is 2.03 μB per formula unit.

***

Entry 6:
VCoTc | PBE | relaxed

The space group is Cmmm (No. 65) and the conventional cell measures 6.397, 7.072 and 4.189 Å, with angles of 90.00, 90.00 and 90.00 degrees. Symmetry generates all atoms from V at (0.000, 0.000, 0.000), V at (0.000, 0.500, 0.500), Co at (0.177, 0.000, 0.500) and Tc at (0.000, 0.314, 0.000).

For the density of states at the Fermi level, the calculation gives 1.499 states/eV/atom. Its formation enthalpy at 0 K is 1.12 eV per atom. Its polymorph energy (0 for the lowest one) is 3.40 eV/f.u. Its magnetization is 0.64 μB per formula unit.

***

Entry 7:
AcLaPr4Tm2 | PBE | relaxed

The space group is C2/m (No. 12) and the conventional cell measures 11.729, 5.221 and 10.474 Å, with angles of 90.00, 116.63 and 90.00 degrees. Symmetry generates all atoms from Ac at (0.000, 0.000, 0.000), La at (0.000, 0.000, 0.500), Pr at (0.249, 0.000, 0.872), Pr at (0.249, 0.500, 0.623) and Tm at (0.001, 0.500, 0.746).

For the density of states at the Fermi level, the calculation gives 1.736 states/eV/atom. Its formation enthalpy at 0 K is 0.04 eV per atom. Its magnetization is 0.00 μB per formula unit.

***

Entry 8:
LiSn3W | PBE | relaxed

The space group is Pm-3m (No. 221) and the conventional cell measures 4.876, 4.876 and 4.876 Å, with angles of 90.00, 90.00 and 90.00 degrees. Symmetry generates all atoms from Li at (0.000, 0.000, 0.000), Sn at (0.000, 0.000, 0.500) and W at (0.500, 0.500, 0.500).

For the density of states at the Fermi level, the calculation gives 0.530 states/eV/atom. Its formation enthalpy at 0 K is 1.10 eV per atom. Its polymorph energy (0 for the lowest one) is 3.73 eV/f.u. Its magnetization is 3.43 μB per formula unit.

***

Entry 9:
Pm2P4Ir3Rh | PBE | relaxed

The space group is P-4m2 (No. 115) and the conventional cell measures 4.184, 4.184 and 9.547 Å, with angles of 90.00, 90.00 and 90.00 degrees. Symmetry generates all atoms from Pm at (0.000, 0.500, 0.242), P at (0.000, 0.000, 0.000), P at (0.000, 0.500, 0.639), P at (0.500, 0.500, 0.000), Ir at (0.000, 0.500, 0.887), Ir at (0.500, 0.500, 0.500) and Rh at (0.000, 0.000, 0.500).

For the density of states at the Fermi level, the calculation gives 0.419 states/eV/atom. Its formation enthalpy at 0 K is -1.04 eV per atom. Its magnetization is 0.00 μB per formula unit.

***

Entry 10:
Tb8GePb5 | PBE | relaxed

The space group is I-4 (No. 82) and the conventional cell measures 9.331, 9.331 and 9.408 Å, with angles of 90.00, 90.00 and 90.00 degrees. Symmetry generates all atoms from Tb at (0.068, 0.193, 0.196), Tb at (0.070, 0.323, 0.549), Ge at (0.000, 0.500, 0.250), Pb at (0.000, 0.000, 0.500) and Pb at (0.122, 0.249, 0.872).

For the density of states at the Fermi level, the calculation gives 0.093 states/eV/atom. Its formation enthalpy at 0 K is -0.59 eV per atom. Its magnetization is 0.00 μB per formula unit.

***

Entry 11:
P2S | PBE | relaxed

The space group is P4/mmm (No. 123) and the conventional cell measures 2.462, 2.462 and 8.097 Å, with angles of 90.00, 90.00 and 90.00 degrees. Symmetry generates all atoms from P at (0.000, 0.000, 0.139) and S at (0.000, 0.000, 0.500).

The raw formation energy is 23.0 kJ per mole of atoms. For the density of states at the Fermi level, the calculation gives 0.291 states/eV/atom. Its polymorph energy (0 for the lowest one) is 0.64 eV/f.u. Its magnetization is 0.00 μB per formula unit.

***

Entry 12:
NdHo4S7 | PBE | relaxed

The space group is Cm (No. 8) and the conventional cell measures 12.957, 3.814 and 11.665 Å, with angles of 90.00, 104.42 and 90.00 degrees. Symmetry generates all atoms from Nd at (0.000, 0.000, 0.000), Ho at (0.113, 0.000, 0.422), Ho at (0.223, 0.000, 0.837), Ho at (0.312, 0.500, 0.235), Ho at (0.412, 0.000, 0.605), S at (0.068, 0.000, 0.634), S at (0.115, 0.500, 0.913), S at (0.157, 0.000, 0.211), S at (0.271, 0.500, 0.471), S at (0.349, 0.500, 0.766), S at (0.362, 0.000, 0.069) and S at (0.454, 0.000, 0.370).

The raw formation energy is -197.9 kJ per mole of atoms. For the density of states at the Fermi level, the calculation gives 0.128 states/eV/atom. Its magnetization is 0.00 μB per formula unit.

***

Entry 13:
Sc2Pb2W | PBE | relaxed

The space group is I4/mmm (No. 139) and the conventional cell measures 4.046, 4.046 and 15.683 Å, with angles of 90.00, 90.00 and 90.00 degrees. Symmetry generates all atoms from Sc at (0.000, 0.000, 0.089), Pb at (0.000, 0.500, 0.250) and W at (0.000, 0.000, 0.500).

For the density of states at the Fermi level, the calculation gives 0.928 states/eV/atom. Its formation enthalpy at 0 K is 0.82 eV per atom. Its magnetization is 1.27 μB per formula unit.

***

Entry 14:
Np3MoS6 | PBE | relaxed

The space group is R-3 (No. 148, hexagonal axes) and the conventional cell measures 11.6567, 11.6567 and 11.1378 Å, with angles of 90.00, 90.00 and 120.00 degrees. Symmetry generates all atoms from Np at (0.0484, 0.7726, 0.1523), Mo at (0.0000, 0.0000, 0.0000), Mo at (0.0000, 0.0000, 0.5000), S at (0.0325, 0.8271, 0.8976) and S at (0.0539, 0.8524, 0.3856).

The raw formation energy is -111.1 kJ per mole of atoms. For the density of states at the Fermi level, the calculation gives 2.807 states/eV/atom. Its magnetization is 12.00 μB per formula unit.

***

Entry 15:
Li2LaBeGa | PBE | relaxed

The space group is P4/mmm (No. 123) and the conventional cell measures 5.960, 5.960 and 4.939 Å, with angles of 90.00, 90.00 and 90.00 degrees. Symmetry generates all atoms from Li at (0.000, 0.500, 0.000), La at (0.000, 0.000, 0.000), Be at (0.000, 0.000, 0.500) and Ga at (0.500, 0.500, 0.500).

For the density of states at the Fermi level, the calculation gives 1.007 states/eV/atom. Its formation enthalpy at 0 K is 1.31 eV per atom. Its magnetization is 0.04 μB per formula unit.

***

Entry 16:
NaTl3In4 | PBE | relaxed

The space group is C2/m (No. 12) and the conventional cell measures 22.524, 3.317 and 6.437 Å, with angles of 90.00, 105.86 and 90.00 degrees. Symmetry generates all atoms from Na at (0.000, 0.000, 0.000), Tl at (0.000, 0.500, 0.500), Tl at (0.129, 0.500, 0.886), In at (0.130, 0.500, 0.377) and In at (0.243, 0.000, 0.248).

For the density of states at the Fermi level, the calculation gives 0.384 states/eV/atom. Its formation enthalpy at 0 K is 0.00 eV per atom. Its polymorph energy (0 for the lowest one) is 0.25 eV/f.u. Its magnetization is 0.00 μB per formula unit.

***

Entry 17:
Tl3InPb2 | PBE | relaxed

The space group is P2_1/m (No. 11) and the conventional cell measures 10.175, 3.468 and 10.357 Å, with angles of 90.00, 91.55 and 90.00 degrees. Symmetry generates all atoms from Tl at (0.083, 0.250, 0.378), Tl at (0.250, 0.750, 0.125), Tl at (0.416, 0.250, 0.872), In at (0.249, 0.750, 0.624), Pb at (0.085, 0.250, 0.872) and Pb at (0.421, 0.250, 0.377).

For the density of states at the Fermi level, the calculation gives 0.499 states/eV/atom. Its formation enthalpy at 0 K is 0.01 eV per atom. Its polymorph energy (0 for the lowest one) is 0.00 eV/f.u. Its magnetization is 0.00 μB per formula unit.

***

Entry 18:
B5C7 | PBE | relaxed

The space group is Pm (No. 6) and the conventional cell measures 3.983, 2.586 and 7.769 Å, with angles of 90.00, 90.60 and 90.00 degrees. Symmetry generates all atoms from B at (0.000, 0.000, 0.000), B at (0.012, 0.000, 0.290), B at (0.057, 0.000, 0.611), B at (0.365, 0.000, 0.775), B at (0.760, 0.500, 0.633), C at (0.304, 0.000, 0.132), C at (0.332, 0.000, 0.470), C at (0.528, 0.500, 0.135), C at (0.536, 0.500, 0.452), C at (0.558, 0.500, 0.811), C at (0.763, 0.500, 0.297) and C at (0.768, 0.500, 0.973).

For the density of states at the Fermi level, the calculation gives 0.051 states/eV/atom. Its formation enthalpy at 0 K is 0.34 eV per atom. Its polymorph energy (0 for the lowest one) is 1.01 eV/f.u. Its magnetization is 0.00 μB per formula unit.

***

Entry 19:
Rb2ErCrS4 | PBE | relaxed

The space group is I-4 (No. 82) and the conventional cell measures 7.359, 7.359 and 9.090 Å, with angles of 90.00, 90.00 and 90.00 degrees. Symmetry generates all atoms from Rb at (0.000, 0.000, 0.000), Rb at (0.000, 0.500, 0.250), Er at (0.000, 0.000, 0.500), Cr at (0.000, 0.500, 0.750) and S at (0.152, 0.737, 0.642).

The raw formation energy is -113.4 kJ per mole of atoms. For the density of states at the Fermi level, the calculation gives 0.645 states/eV/atom. Its magnetization is 3.00 μB per formula unit.

***

Entry 20:
DyVRuRh | PBE | relaxed

The space group is F-43m (No. 216) and the conventional cell measures 6.448, 6.448 and 6.448 Å, with angles of 90.00, 90.00 and 90.00 degrees. Symmetry generates all atoms from Dy at (0.000, 0.000, 0.000), V at (0.000, 0.000, 0.500), Ru at (0.250, 0.250, 0.750) and Rh at (0.250, 0.250, 0.250).

For the density of states at the Fermi level, the calculation gives 1.232 states/eV/atom. Its formation enthalpy at 0 K is -0.25 eV per atom. Its magnetization is 1.37 μB per formula unit.

***

Entry 21:
CuPtAu2 | PBE | relaxed

The space group is I4/mmm (No. 139) and the conventional cell measures 4.045, 4.045 and 7.878 Å, with angles of 90.00, 90.00 and 90.00 degrees. Symmetry generates all atoms from Cu at (0.000, 0.000, 0.000), Pt at (0.000, 0.000, 0.500) and Au at (0.000, 0.500, 0.250).

For the density of states at the Fermi level, the calculation gives 0.407 states/eV/atom. Its formation enthalpy at 0 K is 0.00 eV per atom. Its polymorph energy (0 for the lowest one) is 0.19 eV/f.u. Its magnetization is 0.00 μB per formula unit.

***

Entry 22:
KAg2H2 | PBE | relaxed

The space group is I4/mmm (No. 139) and the conventional cell measures 3.940, 3.940 and 11.809 Å, with angles of 90.00, 90.00 and 90.00 degrees. Symmetry generates all atoms from K at (0.000, 0.000, 0.000), Ag at (0.000, 0.000, 0.287) and H at (0.000, 0.500, 0.250).

For the density of states at the Fermi level, the calculation gives 0.337 states/eV/atom. Its magnetization is 0.00 μB per formula unit. The value obtained for the total energy is -2.48 eV per atom.

***

Entry 23:
CrCd4Pd15 | PBE | relaxed

The space group is P4/mmm (No. 123) and the conventional cell measures 3.999, 3.999 and 20.097 Å, with angles of 90.00, 90.00 and 90.00 degrees. Symmetry generates all atoms from Cr at (0.000, 0.000, 0.000), Cd at (0.000, 0.000, 0.196), Cd at (0.000, 0.000, 0.398), Pd at (0.000, 0.500, 0.093), Pd at (0.000, 0.500, 0.297), Pd at (0.000, 0.500, 0.500), Pd at (0.500, 0.500, 0.000), Pd at (0.500, 0.500, 0.195) and Pd at (0.500, 0.500, 0.399).

For the density of states at the Fermi level, the calculation gives 1.430 states/eV/atom. Its formation enthalpy at 0 K is -0.21 eV per atom. Its magnetization is 2.74 μB per formula unit.